# CaGdHgRu PBE-GGA optimized geometry
data_CaGdHgRu
_chemical_formula_sum 'Ca4 Gd4 Hg4 Ru4'
_cell_length_a 7.1605
_cell_length_b 7.1605
_cell_length_c 7.1605
_cell_angle_alpha 90.00
_cell_angle_beta 90.00
_cell_angle_gamma 90.00
_symmetry_space_group_name_H-M 'F -4 3 m'
_symmetry_Int_Tables_number 216
_symmetry_space_group_name_Hall 'F -4 2 3'
loop_
_atom_site_label
_atom_site_type_symbol
_atom_site_fract_x
_atom_site_fract_y
_atom_site_fract_z
Ca1 Ca 0.0000 0.0000 0.0000
Gd1 Gd 0.0000 0.0000 0.5000
Hg1 Hg 0.2500 0.2500 0.2500
Ru1 Ru 0.2500 0.2500 0.7500
# Raw total energy   -6.593 eV per atom
# Magnetic moment   1.7460 μB per atom

# CaGdTlHg PBE-GGA optimized geometry
data_CaGdTlHg
_chemical_formula_sum 'Ca4 Gd4 Tl4 Hg4'
_cell_length_a 7.6252
_cell_length_b 7.6252
_cell_length_c 7.6252
_cell_angle_alpha 90.00
_cell_angle_beta 90.00
_cell_angle_gamma 90.00
_symmetry_space_group_name_H-M 'F -4 3 m'
_symmetry_Int_Tables_number 216
_symmetry_space_group_name_Hall 'F -4 2 3'
loop_
_atom_site_label
_atom_site_type_symbol
_atom_site_fract_x
_atom_site_fract_y
_atom_site_fract_z
Ca1 Ca 0.0000 0.0000 0.0000
Gd1 Gd 0.0000 0.0000 0.5000
Tl1 Tl 0.2500 0.2500 0.2500
Hg1 Hg 0.2500 0.2500 0.7500
# Raw total energy   -5.169 eV per atom
# Magnetic moment   1.7615 μB per atom

# CaGdHo PBE-GGA optimized geometry
data_CaGdHo
_chemical_formula_sum 'Ca2 Gd2 Ho2'
_cell_length_a 3.6569
_cell_length_b 3.6569
_cell_length_c 15.4985
_cell_angle_alpha 90.00
_cell_angle_beta 90.00
_cell_angle_gamma 90.00
_symmetry_space_group_name_H-M 'I 4 m m'
_symmetry_Int_Tables_number 107
_symmetry_space_group_name_Hall 'I 4 -2'
loop_
_atom_site_label
_atom_site_type_symbol
_atom_site_fract_x
_atom_site_fract_y
_atom_site_fract_z
Ca1 Ca 0.0000 0.0000 0.0000
Gd1 Gd 0.0000 0.0000 0.3206
Ho1 Ho 0.0000 0.0000 0.6738
# Polymorph energy (0 for the lowest one)   0 meV/atom
# Raw total energy   -6.821 eV per atom
# Magnetic moment   2.4995 μB per atom

# CaGd4Ho PBE-GGA optimized geometry
data_CaGd4Ho
_chemical_formula_sum 'Ca4 Gd16 Ho4'
_cell_length_a 9.4254
_cell_length_b 9.4254
_cell_length_c 9.4254
_cell_angle_alpha 90.00
_cell_angle_beta 90.00
_cell_angle_gamma 90.00
_symmetry_space_group_name_H-M 'F -4 3 m'
_symmetry_Int_Tables_number 216
_symmetry_space_group_name_Hall 'F -4 2 3'
loop_
_atom_site_label
_atom_site_type_symbol
_atom_site_fract_x
_atom_site_fract_y
_atom_site_fract_z
Ca1 Ca 0.0000 0.0000 0.0000
Gd1 Gd 0.1231 0.1231 0.3769
Ho1 Ho 0.2500 0.2500 0.7500
# Raw total energy   -10.266 eV per atom
# Magnetic moment   4.8985 μB per atom

# CaGdHo PBE-GGA optimized geometry
data_CaGdHo
_chemical_formula_sum 'Ca1 Gd1 Ho1'
_cell_length_a 3.6307
_cell_length_b 3.6307
_cell_length_c 9.0775
_cell_angle_alpha 90.00
_cell_angle_beta 90.00
_cell_angle_gamma 120.00
_symmetry_space_group_name_H-M 'P 3 m 1'
_symmetry_Int_Tables_number 156
_symmetry_space_group_name_Hall 'P 3 -2"'
loop_
_atom_site_label
_atom_site_type_symbol
_atom_site_fract_x
_atom_site_fract_y
_atom_site_fract_z
Ca1 Ca 0.0000 0.0000 0.0000
Gd1 Gd 0.6667 0.3333 0.3519
Ho1 Ho 0.3333 0.6667 0.6565
# Polymorph energy (0 for the lowest one)   4 meV/atom
# Raw total energy   -6.817 eV per atom
# Magnetic moment   2.5488 μB per atom

# CaGdHo4 PBE-GGA optimized geometry
data_CaGdHo4
_chemical_formula_sum 'Ca4 Gd4 Ho16'
_cell_length_a 9.3833
_cell_length_b 9.3833
_cell_length_c 9.3833
_cell_angle_alpha 90.00
_cell_angle_beta 90.00
_cell_angle_gamma 90.00
_symmetry_space_group_name_H-M 'F -4 3 m'
_symmetry_Int_Tables_number 216
_symmetry_space_group_name_Hall 'F -4 2 3'
loop_
_atom_site_label
_atom_site_type_symbol
_atom_site_fract_x
_atom_site_fract_y
_atom_site_fract_z
Ca1 Ca 0.0000 0.0000 0.0000
Gd1 Gd 0.2500 0.2500 0.2500
Ho1 Ho 0.1242 0.1242 0.6242
# Raw total energy   -5.521 eV per atom
# Magnetic moment   1.3014 μB per atom

# CaGdHoMg PBE-GGA optimized geometry
data_CaGdHoMg
_chemical_formula_sum 'Ca4 Gd4 Ho4 Mg4'
_cell_length_a 7.8965
_cell_length_b 7.8965
_cell_length_c 7.8965
_cell_angle_alpha 90.00
_cell_angle_beta 90.00
_cell_angle_gamma 90.00
_symmetry_space_group_name_H-M 'F -4 3 m'
_symmetry_Int_Tables_number 216
_symmetry_space_group_name_Hall 'F -4 2 3'
loop_
_atom_site_label
_atom_site_type_symbol
_atom_site_fract_x
_atom_site_fract_y
_atom_site_fract_z
Ca1 Ca 0.0000 0.0000 0.0000
Gd1 Gd 0.2500 0.2500 0.2500
Ho1 Ho 0.2500 0.2500 0.7500
Mg1 Mg 0.0000 0.0000 0.5000
# Raw total energy   -5.485 eV per atom
# Magnetic moment   1.8213 μB per atom

# CaPmGdHo PBE-GGA optimized geometry
data_CaPmGdHo
_chemical_formula_sum 'Ca4 Pm4 Gd4 Ho4'
_cell_length_a 8.1828
_cell_length_b 8.1828
_cell_length_c 8.1828
_cell_angle_alpha 90.00
_cell_angle_beta 90.00
_cell_angle_gamma 90.00
_symmetry_space_group_name_H-M 'F -4 3 m'
_symmetry_Int_Tables_number 216
_symmetry_space_group_name_Hall 'F -4 2 3'
loop_
_atom_site_label
_atom_site_type_symbol
_atom_site_fract_x
_atom_site_fract_y
_atom_site_fract_z
Ca1 Ca 0.0000 0.0000 0.0000
Pm1 Pm 0.2500 0.2500 0.2500
Gd1 Gd 0.2500 0.2500 0.7500
Ho1 Ho 0.0000 0.0000 0.5000
# Raw total energy   -6.222 eV per atom
# Magnetic moment   1.8931 μB per atom